# 1
# PBE-GGA Na4Hg2Pb, relaxed
# - E above lowest polymorph: 0.000 eV/atom
# - Crystal system: trigonal
# - Calculated density: 5.783 g/cm3
# - M_tot: 0.000 μB/atom
# - Raw total energy: -32.3 eV/cell
data_Na4Hg2Pb
_chemical_formula_sum 'Na12 Hg6 Pb3'
_cell_length_a 5.3439
_cell_length_b 5.3439
_cell_length_c 24.3942
_cell_angle_alpha 90.00
_cell_angle_beta 90.00
_cell_angle_gamma 120.00
_space_group_name_H-M_alt 'R -3 m'
_space_group_IT_number 166
_space_group_name_Hall '-R 3 2"'
loop_
_atom_site_label
_atom_site_type_symbol
_atom_site_fract_x
_atom_site_fract_y
_atom_site_fract_z
Na1 Na 0.0000 0.0000 0.1109
Na2 Na 0.0000 0.0000 0.3683
Hg1 Hg 0.0000 0.0000 0.2397
Pb1 Pb 0.0000 0.0000 0.5000


# 2
# PBE-GGA KMg14Si, relaxed
# - E above lowest polymorph: 0.015 eV/atom
# - Crystal system: hexagonal
# - Calculated density: 1.778 g/cm3
# - M_tot: 0.000 μB/atom
# - Energy relative to the elements, uncorrected: 119.5 meV per atom
# - Raw total energy: -26.9 eV/cell
data_KMg14Si
_chemical_formula_sum 'K1 Mg14 Si1'
_cell_length_a 6.5009
_cell_length_b 6.5009
_cell_length_c 10.3980
_cell_angle_alpha 90.00
_cell_angle_beta 90.00
_cell_angle_gamma 120.00
_space_group_name_H-M_alt 'P -6 m 2'
_space_group_IT_number 187
_space_group_name_Hall 'P -6 2'
loop_
_atom_site_label
_atom_site_type_symbol
_atom_site_fract_x
_atom_site_fract_y
_atom_site_fract_z
K1 K 0.0000 0.0000 0.0000
Mg1 Mg 0.0091 0.5046 0.0000
Mg2 Mg 0.1659 0.3318 0.2726
Mg3 Mg 0.5060 0.0121 0.5000
Mg4 Mg 0.6667 0.3333 0.2441
Si1 Si 0.0000 0.0000 0.5000